# Te2AuSe2, optimized geometry, DFT PBE
# energy above the most stable polymorph in this dataset	88	meV per atom
data_Te2AuSe2
_chemical_formula_sum 'Te4 Au2 Se4'
_symmetry_space_group_name_H-M 'P 4/m b m'
_symmetry_Int_Tables_number 127
_symmetry_space_group_name_Hall '-P 4 2ab'
_cell_length_a 6.9199
_cell_length_b 6.9199
_cell_length_c 5.8609
_cell_angle_alpha 90.00
_cell_angle_beta 90.00
_cell_angle_gamma 90.00
loop_
_atom_site_label
_atom_site_type_symbol
_atom_site_fract_x
_atom_site_fract_y
_atom_site_fract_z
Te1 Te 0.1457 0.3543 0.0000
Au1 Au 0.0000 0.0000 0.5000
Se1 Se 0.1601 0.3399 0.5000

=====

Entry from Alexandria: TbErPt6 after structural relaxation (PBE).

The structure in CIF format:
```
data_TbErPt6
_chemical_formula_sum 'Tb1 Er1 Pt6'
_symmetry_space_group_name_H-M 'P 4/m m m'
_symmetry_Int_Tables_number 123
_symmetry_space_group_name_Hall '-P 4 2'
_cell_length_a 4.1149
_cell_length_b 4.1149
_cell_length_c 8.2274
_cell_angle_alpha 90.00
_cell_angle_beta 90.00
_cell_angle_gamma 90.00
loop_
_atom_site_label
_atom_site_type_symbol
_atom_site_fract_x
_atom_site_fract_y
_atom_site_fract_z
Tb1 Tb 0.0000 0.0000 0.0000
Er1 Er 0.0000 0.0000 0.5000
Pt1 Pt 0.0000 0.5000 0.2522
Pt2 Pt 0.5000 0.5000 0.0000
Pt3 Pt 0.5000 0.5000 0.5000
```

=====

Entry from Alexandria: SmLuAlOs after structural relaxation (PBE).

The structure in CIF format:
```
data_SmLuAlOs
_chemical_formula_sum 'Sm4 Lu4 Al4 Os4'
_symmetry_space_group_name_H-M 'F -4 3 m'
_symmetry_Int_Tables_number 216
_symmetry_space_group_name_Hall 'F -4 2 3'
_cell_length_a 6.9923
_cell_length_b 6.9923
_cell_length_c 6.9923
_cell_angle_alpha 90.00
_cell_angle_beta 90.00
_cell_angle_gamma 90.00
loop_
_atom_site_label
_atom_site_type_symbol
_atom_site_fract_x
_atom_site_fract_y
_atom_site_fract_z
Sm1 Sm 0.0000 0.0000 0.0000
Lu1 Lu 0.0000 0.0000 0.5000
Al1 Al 0.2500 0.2500 0.2500
Os1 Os 0.2500 0.2500 0.7500
```

=====

Entry from Alexandria: BaNpRhS4 after structural relaxation (PBE).

The structure in CIF format:
```
data_BaNpRhS4
_chemical_formula_sum 'Ba2 Np2 Rh2 S8'
_symmetry_space_group_name_H-M 'P 1 21/m 1'
_symmetry_Int_Tables_number 11
_cell_length_a 6.6269
_cell_length_b 5.9379
_cell_length_c 8.5502
_cell_angle_alpha 90.00
_cell_angle_beta 106.40
_cell_angle_gamma 90.00
loop_
_symmetry_equiv_pos_as_xyz
'x,y,z'
'-x,-y,-z'
'-x,y+1/2,-z'
'x,-y+1/2,z'
loop_
_atom_site_label
_atom_site_type_symbol
_atom_site_fract_x
_atom_site_fract_y
_atom_site_fract_z
Ba1 Ba 0.2471 0.2500 0.4434
Np1 Np 0.2516 0.2500 0.9462
Rh1 Rh 0.2696 0.7500 0.1583
S1 S 0.0480 0.7500 0.9022
S2 S 0.0545 0.7500 0.3381
S3 S 0.4708 0.5135 0.7838
```

=====

| no. | electronic total energy (eV/cell) | Fermi-level density of states (states/eV/atom) |
| --- | --- | --- |
| 1 | -31.94 | 0.63 |
| 2 | -53.80 | 0.97 |
| 3 | -100.62 | 0.41 |
| 4 | -93.56 | 1.57 |